Entry 1:
Crystalline ScAgHg at its relaxed geometry, computed with PBE. Values from VASP.

Cell and atoms, written as Quantum ESPRESSO input:
```
&SYSTEM
  ibrav = 0, nat = 3, ntyp = 3
/
ATOMIC_SPECIES
Sc 44.96 Sc.upf
Hg 200.59 Hg.upf
Ag 107.87 Ag.upf
ATOMIC_POSITIONS crystal
Sc 0.333 0.667 0.666
Hg 0.667 0.333 0.166
Ag 0.000 0.000 0.168
CELL_PARAMETERS angstrom
4.788 0.000 0.000
-2.394 4.147 0.000
0.000 0.000 3.119
```

Values from the calculation:
The total magnetization comes out at 0.0 μB per cell. The total energy comes out at -3.409 eV per atom.



Entry 2:
Crystalline Sc3Ag4Hg4 at its relaxed geometry, computed with PBE. Values from VASP.

Cell and atoms, written as Quantum ESPRESSO input:
```
&SYSTEM
  ibrav = 0, nat = 11, ntyp = 3
/
ATOMIC_SPECIES
Sc 44.96 Sc.upf
Ag 107.87 Ag.upf
Hg 200.59 Hg.upf
ATOMIC_POSITIONS crystal
Sc 0.138 0.639 0.723
Sc 0.862 0.361 0.277
Sc 0.000 0.000 0.000
Ag 0.591 0.091 0.818
Ag 0.268 0.268 0.464
Ag 0.732 0.732 0.536
Ag 0.409 0.909 0.182
Hg 0.548 0.547 0.906
Hg 0.452 0.453 0.094
Hg 0.318 0.817 0.365
Hg 0.682 0.183 0.635
CELL_PARAMETERS angstrom
-2.317 2.090 0.255
0.643 0.132 4.762
9.085 12.340 0.859
```

Values from the calculation:
The total magnetization comes out at 0.5 μB per cell. The total energy comes out at -3.059 eV per atom.



Ρ across the listed records, respectively: 9.5, 10.0 g/cm³.
Fermi-level density of states across the listed records, respectively: 1.28, 7.45 states/eV/cell.